# Pm6Sb2TeSe3, relaxed, DFT GGA-PBE
data_Pm6Sb2TeSe3
_chemical_formula_sum 'Pm12 Sb4 Te2 Se6'
_cell_length_a 18.958
_cell_length_b 4.336
_cell_length_c 8.702
_cell_angle_alpha 90.00
_cell_angle_beta 103.42
_cell_angle_gamma 90.00
_space_group_name_H-M_alt 'C 1 2/m 1'
_space_group_IT_number 12
loop_
_space_group_symop_operation_xyz
'x,y,z'
'-x,-y,-z'
'-x,y,-z'
'x,-y,z'
'x+1/2,y+1/2,z'
'-x+1/2,-y+1/2,-z'
'-x+1/2,y+1/2,-z'
'x+1/2,-y+1/2,z'
loop_
_atom_site_label
_atom_site_type_symbol
_atom_site_fract_x
_atom_site_fract_y
_atom_site_fract_z
Pm1 Pm 0.003 0.000 0.232
Pm2 Pm 0.164 0.500 0.090
Pm3 Pm 0.173 0.500 0.578
Sb1 Sb 0.166 0.000 0.832
Te1 Te 0.000 0.500 0.500
Se1 Se 0.000 0.500 0.000
Se2 Se 0.165 0.000 0.334
# calculated volume	28.994	A^3/atom
# magnetization	0.000	Bohr magnetons per cell
# crystal system	monoclinic
# uncorrected energy	-5.75	eV/atom
# energy relative to the elements, uncorrected	-1.559	eV/atom